The following is a DFT calculation (PBE) of a relaxed FeTeRuI2 crystal.

Summary:
- D(E_F) (states/eV/atom) = 1.7910
- uncorrected formation energy (eV/f.u.) = 6.22

abc: 5.502 5.502 5.002
angles: 90.00 90.00 90.00
Space group P4/mmm (No. 123)
Asymmetric unit:
1 Fe 0.000 0.000 0.000 (multiplicity 1)
2 Te 0.500 0.500 0.000 (multiplicity 1)
3 Ru 0.500 0.500 0.500 (multiplicity 1)
4 I 0.000 0.500 0.500 (multiplicity 2)